(1)
The following is a PBE calculation of a relaxed structure of CaP, from the Alexandria database.

Geometry as POSCAR:
```
CaP
1.0
-1.3876 -1.7831 7.1703
0.3203 -4.8225 5.7583
4.1288 -0.8594 6.8445
Ca P
3 3
direct
0.4830 0.4830 0.7070
0.3071 0.3071 0.4323
0.6421 0.6421 0.0589
0.9232 0.9232 0.5189
0.0160 0.0160 0.9455
0.7953 0.7953 0.1708
```

## Properties
For the calculated volume, the calculation gives 141 Å³ per cell. The calculated density is 2.51 g cm⁻³. The energy of formation is -946.8 meV/atom.

=====

(2)
The following is a PBE calculation of a relaxed structure of GdInPt, from the Alexandria database.

Geometry as POSCAR:
```
GdInPt
1.0
4.7530 0.0000 0.0000
2.3765 4.1162 0.0000
2.3765 1.3721 3.8808
Gd Pt In
1 1 1
direct
0.0000 0.0000 0.0000
0.2500 0.2500 0.2500
0.5000 0.5000 0.5000
```

## Properties
For the calculated volume, the calculation gives 76 Å³ per cell. The calculated density is 10.22 g cm⁻³. The energy of formation is -852.1 meV/atom.

=====

(3)
The following is a PBE calculation of a relaxed structure of Er5PuN6, from the Alexandria database.

Geometry as POSCAR:
```
Er5PuN6
1.0
-1.2430 -5.4937 -1.8989
-2.8106 -2.9892 4.2968
-5.9295 0.1553 0.3368
Er Pu N
5 1 6
direct
0.0000 0.3336 0.3328
0.5000 0.5000 0.0000
0.5000 0.8326 0.3347
0.5000 0.1674 0.6653
0.0000 0.6664 0.6672
0.0000 0.0000 0.0000
0.2464 0.2461 0.0000
0.7517 0.0828 0.3283
0.2483 0.9172 0.6717
0.7517 0.4110 0.6717
0.7536 0.7539 0.0000
0.2483 0.5890 0.3283
```

## Properties
For the calculated volume, the calculation gives 171 Å³ per cell. The calculated density is 11.28 g cm⁻³. As for the uncorrected formation energy: -1.6806 eV per atom.

=====

(4)
The following is a PBE calculation of a relaxed structure of LaPm2Th3P6, from the Alexandria database.

Geometry as POSCAR:
```
LaPm2Th3P6
1.0
7.2094 0.0038 0.0006
-3.5997 6.2465 0.0006
-1.2036 -2.0840 6.7796
P La Pm Th
6 1 2 3
direct
0.5783 0.9150 0.7449
0.0850 0.4217 0.2551
0.7478 0.7478 0.2539
0.2522 0.2522 0.7461
0.4217 0.0850 0.2551
0.9150 0.5783 0.7449
0.0000 0.0000 0.0000
0.3333 0.6667 0.0000
0.6667 0.3333 0.0000
0.5000 0.5000 0.5000
0.1659 0.8341 0.5000
0.8341 0.1659 0.5000
```

## Properties
For the calculated volume, the calculation gives 305 Å³ per cell. The calculated density is 7.13 g cm⁻³. The energy of formation is -1577.8 meV/atom.

=====

(5)
The following is a PBE calculation of a relaxed structure of Al3Zn2, from the Alexandria database.

Geometry as POSCAR:
```
Al3Zn2
1.0
8.4453 0.0159 -0.0096
5.8024 4.6431 0.0891
2.6429 -2.0561 4.1464
Zn Al
4 6
direct
0.3048 0.0948 0.6998
0.5502 0.3495 0.9452
0.9005 0.6998 0.0948
0.1552 0.9452 0.3495
0.3471 0.1529 0.1529
0.9467 0.7562 0.5462
0.7038 0.4991 0.3033
0.0971 0.9029 0.9029
0.7509 0.5462 0.7562
0.4938 0.3033 0.4991
```

## Properties
For the calculated volume, the calculation gives 164 Å³ per cell. The calculated density is 4.29 g cm⁻³. The energy of formation is 62.4 meV/atom.

=====

(6)
The following is a PBE calculation of a relaxed structure of Ti2NbAgN, from the Alexandria database.

Geometry as POSCAR:
```
Ti2NbAgN
1.0
-2.8537 -2.7759 -1.1784
3.0119 -2.7052 -0.9212
-0.1572 -1.5399 4.0083
Ag Ti N Nb
1 2 1 1
direct
0.5000 0.5000 0.5000
0.5000 0.0000 0.0000
0.0000 0.5000 0.0000
0.0000 0.0000 0.0000
0.0000 0.0000 0.5000
```

## Properties
For the calculated volume, the calculation gives 74 Å³ per cell. The calculated density is 6.96 g cm⁻³. As for the uncorrected formation energy: -0.6272 eV per atom.